# MgPaCoCu PBE relaxed
# DFT formation energy ... -0.016 eV/atom
# Density of states at the Fermi level ... 2.706 states/eV per cell
# Total magnetization ... 0.00 μB per formula unit
# Space group ... F-43m
data_MgPaCoCu
_cell_length_a 4.6130
_cell_length_b 4.6130
_cell_length_c 4.6130
_cell_angle_alpha 60.00
_cell_angle_beta 60.00
_cell_angle_gamma 60.00
_symmetry_space_group_name_H-M 'P 1'
_symmetry_Int_Tables_number 1
loop_
_symmetry_equiv_pos_as_xyz
'x,y,z'
loop_
_atom_site_label
_atom_site_type_symbol
_atom_site_fract_x
_atom_site_fract_y
_atom_site_fract_z
_atom_site_occupancy
Mg1 Mg 0.0000 0.0000 0.0000 1
Pa1 Pa 0.5000 0.5000 0.5000 1
Co1 Co 0.7500 0.7500 0.7500 1
Cu1 Cu 0.2500 0.2500 0.2500 1